Entry 1:
# Rb4CeU3Se8

A relaxed structure of Rb4CeU3Se8 (PBE, the Alexandria database).

The structure in POSCAR format:
```
Rb4CeU3Se8
1.0
4.282 2.472 8.067
-4.282 2.472 8.067
0.000 -4.944 8.067
Rb Ce U Se
4 1 3 8
Direct
0.000 0.000 0.000
0.000 0.500 0.500
0.500 0.000 0.500
0.500 0.500 0.000
0.500 0.500 0.500
0.000 0.000 0.500
0.000 0.500 0.000
0.500 0.000 0.000
0.228 0.736 0.736
0.232 0.232 0.232
0.264 0.264 0.772
0.264 0.772 0.264
0.736 0.228 0.736
0.736 0.736 0.228
0.768 0.768 0.768
0.772 0.264 0.264
```

Summary:
Density of states at the Fermi level, states/eV/atom: 1.40
Total magnetization, μB/f.u.: 10.00

***

Entry 2:
# Rb2CeUSe4

A relaxed structure of Rb2CeUSe4 (PBE, the Alexandria database).

The structure in POSCAR format:
```
Rb2CeUSe4
1.0
7.500 0.000 0.000
0.000 4.324 0.000
-2.495 0.000 8.040
Rb Ce U Se
2 1 1 4
Direct
0.000 0.000 0.000
0.500 0.500 0.000
0.000 0.500 0.500
0.500 0.000 0.500
0.239 0.000 0.700
0.273 0.500 0.302
0.727 0.500 0.698
0.761 0.000 0.300
```

Summary:
Density of states at the Fermi level, states/eV/atom: 1.67
Total magnetization, μB/f.u.: 4.00

***

E_form (uncorrected) (meV/atom)
-1322; -1434